First-principles (GGA-PBE) data for a geometry-optimized MnHRhW2 structure, as listed in the Alexandria database.

- Uncorrected energy: -9.101 eV per atom
- D(E_F): 3.19 states/eV/f.u.
- Calculated density: 14.64 g/cm³
- SG: No. 123

Cell lengths 3.952, 3.952, 3.825 Å; angles 90.00, 90.00, 90.00 degrees
Atoms (fractional coordinates):
Mn: 0.000 0.000 0.000
H: 0.000 0.000 0.500
Rh: 0.500 0.500 0.000
W: 0.000 0.500 0.500
W: 0.500 0.000 0.500